! PmMgNb (PBE, optimized geometry); values from VASP
! Volume (Å³/cell): 87
! Electronic total energy (eV/atom): -4.51
! Magnetic moment (μB/f.u.): 2.6
&SYSTEM
  ibrav = 0, nat = 3, ntyp = 3
/
ATOMIC_SPECIES
Mg 24.30 Mg.upf
Nb 92.91 Nb.upf
Pm 145.00 Pm.upf
ATOMIC_POSITIONS crystal
Mg 0.2500 0.2500 0.2500
Nb 0.0000 0.0000 0.0000
Pm 0.7500 0.7500 0.7500
CELL_PARAMETERS angstrom
-0.5853 3.1025 3.8347
1.3485 4.7613 -0.4293
-3.4640 3.5550 -0.1879